Computed, not measured: an optimized crystal structure of YHoTeC at the PBE-GGA level of DFT.

Summary:
formation energy without anion corrections: -0.838 eV per atom
theoretical density: 7.3 g/cm³
Fermi-level density of states: 0.22 states/eV/atom

Cell and atoms, written as CIF:
```
data_YHoTeC
_chemical_formula_sum 'Y3 Ho3 Te3 C3'
_cell_length_a 3.8085
_cell_length_b 3.8085
_cell_length_c 21.2706
_cell_angle_alpha 90.00
_cell_angle_beta 90.00
_cell_angle_gamma 120.00
_symmetry_space_group_name_H-M 'R 3 m'
_symmetry_Int_Tables_number 160
_symmetry_space_group_name_Hall 'R 3 -2"'
loop_
_atom_site_label
_atom_site_type_symbol
_atom_site_fract_x
_atom_site_fract_y
_atom_site_fract_z
Y1 Y 0.0000 0.0000 0.0000
Ho1 Ho 0.0000 0.0000 0.7903
Te1 Te 0.0000 0.0000 0.2281
C1 C 0.0000 0.0000 0.3974
```